(1)
Density functional theory data (PBE) for a relaxed structure of Li3AuI.

Computed properties:
Offset from the most stable computed form (eV/atom): 0.000
Formation energy (no corrections) (eV per atom): -0.4294
DFT total energy (eV for the cell shown): -12.72

```
Li3AuI
1.0
5.033 0.000 0.000
0.000 5.033 0.000
0.000 0.000 5.033
Li Au I
3 1 1
direct
0.000 0.000 0.500 Li
0.000 0.500 0.000 Li
0.500 0.000 0.000 Li
0.000 0.000 0.000 Au
0.500 0.500 0.500 I
```

=====

(2)
Density functional theory data (PBE) for a relaxed structure of LiAu2I8.

Computed properties:
Formation energy (no corrections) (eV per atom): -0.1427
DFT total energy (eV for the cell shown): -22.44

```
LiAu2I8
1.0
6.307 -5.027 0.000
6.307 5.027 0.000
-1.090 0.000 9.042
Li Au I
1 2 8
direct
0.000 0.000 0.000 Li
0.143 0.143 0.651 Au
0.857 0.857 0.349 Au
0.159 0.799 0.232 I
0.201 0.841 0.768 I
0.313 0.313 0.517 I
0.447 0.447 0.850 I
0.553 0.553 0.150 I
0.687 0.687 0.483 I
0.799 0.159 0.232 I
0.841 0.201 0.768 I
```

=====

(3)
Density functional theory data (PBE) for a relaxed structure of Li2AuI.

Computed properties:
Offset from the most stable computed form (eV/atom): 0.000
Formation energy (no corrections) (eV per atom): -0.6308
DFT total energy (eV for the cell shown): -22.36

```
Li2AuI
1.0
-3.112 3.112 6.173
3.112 -3.112 6.173
3.112 3.112 -6.173
Li Au I
4 2 2
direct
0.109 0.625 0.984 Li
0.375 0.359 0.484 Li
0.641 0.125 0.016 Li
0.875 0.891 0.516 Li
0.000 0.000 0.000 Au
0.750 0.250 0.500 Au
0.250 0.750 0.500 I
0.500 0.500 0.000 I
```

=====

(4)
Density functional theory data (PBE) for a relaxed structure of LiAuI2.

Computed properties:
Offset from the most stable computed form (eV/atom): 0.008
Formation energy (no corrections) (eV per atom): -0.5757
DFT total energy (eV for the cell shown): -10.59

```
LiAuI2
1.0
6.971 -2.090 0.000
6.971 2.090 0.000
-0.307 0.000 5.243
Li Au I
1 1 2
direct
0.000 0.000 0.000 Li
0.500 0.500 0.500 Au
0.364 0.364 0.815 I
0.636 0.636 0.185 I
```

=====

(5)
Density functional theory data (PBE) for a relaxed structure of Li2Au2I7.

Computed properties:
Offset from the most stable computed form (eV/atom): 0.000
Formation energy (no corrections) (eV per atom): -0.4109
DFT total energy (eV for the cell shown): -25.75

```
Li2Au2I7
1.0
3.870 -7.090 0.000
3.870 7.090 0.000
-1.055 0.000 7.761
Li Au I
2 2 7
direct
0.232 0.768 0.000 Li
0.768 0.232 0.000 Li
0.271 0.271 0.784 Au
0.729 0.729 0.216 Au
0.043 0.415 0.755 I
0.263 0.263 0.148 I
0.415 0.043 0.755 I
0.500 0.500 0.500 I
0.585 0.957 0.245 I
0.737 0.737 0.852 I
0.957 0.585 0.245 I
```

=====

(6)
Density functional theory data (PBE) for a relaxed structure of LiAu2I.

Computed properties:
Offset from the most stable computed form (eV/atom): 0.349
Formation energy (no corrections) (eV per atom): 0.0905
DFT total energy (eV for the cell shown): -9.66

```
LiAu2I
1.0
0.000 3.519 3.519
3.519 0.000 3.519
3.519 3.519 0.000
Li Au I
1 2 1
direct
0.000 0.000 0.000 Li
0.250 0.250 0.250 Au
0.750 0.750 0.750 Au
0.500 0.500 0.500 I
```

=====

(7)
Density functional theory data (PBE) for a relaxed structure of LiAuI3.

Computed properties:
Offset from the most stable computed form (eV/atom): 0.000
Formation energy (no corrections) (eV per atom): -0.4847
DFT total energy (eV for the cell shown): -24.53

```
LiAuI3
1.0
7.345 0.000 0.000
2.953 6.789 0.000
2.774 -0.322 7.703
Li Au I
2 2 6
direct
0.243 0.296 0.055 Li
0.757 0.704 0.945 Li
0.285 0.812 0.074 Au
0.715 0.188 0.926 Au
0.092 0.593 0.348 I
0.188 0.665 0.853 I
0.430 0.957 0.259 I
0.570 0.043 0.741 I
0.812 0.335 0.147 I
0.908 0.407 0.652 I
```

=====

(8)
Density functional theory data (PBE) for a relaxed structure of LiAuI2.

Computed properties:
Offset from the most stable computed form (eV/atom): 0.000
Formation energy (no corrections) (eV per atom): -0.5839
DFT total energy (eV for the cell shown): -10.63

```
LiAuI2
1.0
2.246 1.297 8.207
-2.246 1.297 8.207
0.000 -2.593 8.207
Li Au I
1 1 2
direct
0.000 0.000 0.000 Li
0.500 0.500 0.500 Au
0.395 0.395 0.395 I
0.605 0.605 0.605 I
```

=====

(9)
Density functional theory data (PBE) for a relaxed structure of LiAuI2N.

Computed properties:
Offset from the most stable computed form (eV/atom): 0.000
Formation energy (no corrections) (eV per atom): 0.4171
DFT total energy (eV for the cell shown): -14.53

```
LiAuI2N
1.0
6.044 0.000 0.000
0.000 6.044 0.000
0.000 0.000 3.840
Li Au I N
1 1 2 1
direct
0.000 0.000 0.000 Li
0.500 0.500 0.500 Au
0.000 0.500 0.500 I
0.500 0.000 0.500 I
0.500 0.500 0.000 N
```

=====

(10)
Density functional theory data (PBE) for a relaxed structure of LiAuI2N.

Computed properties:
Offset from the most stable computed form (eV/atom): 0.556
Formation energy (no corrections) (eV per atom): 0.9726
DFT total energy (eV for the cell shown): -11.75

```
LiAuI2N
1.0
5.411 0.000 0.000
0.000 5.411 0.000
0.000 0.000 3.755
Li Au I N
1 1 2 1
direct
0.000 0.000 0.000 Li
0.500 0.500 0.500 Au
0.000 0.500 0.000 I
0.500 0.000 0.000 I
0.000 0.000 0.500 N
```

=====

(11)
Density functional theory data (PBE) for a relaxed structure of LiAu2IN.

Computed properties:
Formation energy (no corrections) (eV per atom): 0.2101
DFT total energy (eV for the cell shown): -17.29

```
LiAu2IN
1.0
4.105 0.000 0.000
0.000 4.105 0.000
0.000 0.000 7.837
Li Au I N
1 2 1 1
direct
0.000 0.000 0.000 Li
0.000 0.500 0.500 Au
0.500 0.000 0.500 Au
0.500 0.500 0.000 I
0.000 0.000 0.500 N
```

=====

(12)
Density functional theory data (PBE) for a relaxed structure of Li2NbAuI.

Computed properties:
Formation energy (no corrections) (eV per atom): 0.2809
DFT total energy (eV for the cell shown): -17.32

```
Li2NbAuI
1.0
4.874 0.000 0.000
0.000 4.874 0.000
0.000 0.000 5.247
Li Nb Au I
2 1 1 1
direct
0.000 0.500 0.000 Li
0.500 0.000 0.000 Li
0.000 0.000 0.500 Nb
0.000 0.000 0.000 Au
0.500 0.500 0.500 I
```

=====

(13)
Density functional theory data (PBE) for a relaxed structure of LiAuI2O.

Computed properties:
Offset from the most stable computed form (eV/atom): 0.283
Formation energy (no corrections) (eV per atom): 0.1228
DFT total energy (eV for the cell shown): -12.64

```
LiAuI2O
1.0
5.640 0.000 0.000
0.000 5.640 0.000
0.000 0.000 3.469
Li Au I O
1 1 2 1
direct
0.000 0.000 0.000 Li
0.500 0.500 0.500 Au
0.000 0.500 0.000 I
0.500 0.000 0.000 I
0.000 0.000 0.500 O
```

=====

(14)
Density functional theory data (PBE) for a relaxed structure of LiAuI2O.

Computed properties:
Offset from the most stable computed form (eV/atom): 0.000
Formation energy (no corrections) (eV per atom): -0.1607
DFT total energy (eV for the cell shown): -14.05

```
LiAuI2O
1.0
5.808 0.000 0.000
0.000 5.808 0.000
0.000 0.000 4.020
Li Au I O
1 1 2 1
direct
0.000 0.000 0.000 Li
0.500 0.500 0.500 Au
0.000 0.500 0.500 I
0.500 0.000 0.500 I
0.500 0.500 0.000 O
```

=====

(15)
Density functional theory data (PBE) for a relaxed structure of Rb2LiAuI6.

Computed properties:
Formation energy (no corrections) (eV per atom): -0.8027
DFT total energy (eV for the cell shown): -24.45

```
Rb2LiAuI6
1.0
-4.160 4.160 6.239
4.160 -4.160 6.239
4.160 4.160 -6.239
Rb Li Au I
2 1 1 6
direct
0.250 0.750 0.500 Rb
0.750 0.250 0.500 Rb
0.000 0.000 0.000 Li
0.500 0.500 0.000 Au
0.210 0.210 0.000 I
0.272 0.272 0.544 I
0.272 0.728 0.000 I
0.728 0.272 0.000 I
0.728 0.728 0.456 I
0.790 0.790 0.000 I
```

=====

(16)
Density functional theory data (PBE) for a relaxed structure of LiAuSI2.

Computed properties:
Formation energy (no corrections) (eV per atom): 0.3378
DFT total energy (eV for the cell shown): -10.73

```
LiAuSI2
1.0
5.557 0.000 0.000
0.000 5.557 0.000
0.000 0.000 4.451
Li Au S I
1 1 1 2
direct
0.000 0.000 0.000 Li
0.500 0.500 0.500 Au
0.000 0.000 0.500 S
0.000 0.500 0.000 I
0.500 0.000 0.000 I
```

=====

(17)
Density functional theory data (PBE) for a relaxed structure of LiSb2AuI.

Computed properties:
Offset from the most stable computed form (eV/atom): 0.000
Formation energy (no corrections) (eV per atom): 0.2913
DFT total energy (eV for the cell shown): -13.53

```
LiSb2AuI
1.0
5.210 0.000 0.000
0.000 5.210 0.000
0.000 0.000 7.796
Li Sb Au I
1 2 1 1
direct
0.000 0.000 0.000 Li
0.000 0.500 0.500 Sb
0.500 0.000 0.500 Sb
0.500 0.500 0.500 Au
0.500 0.500 0.000 I
```

=====

(18)
Density functional theory data (PBE) for a relaxed structure of LiSb2AuI.

Computed properties:
Offset from the most stable computed form (eV/atom): 0.168
Formation energy (no corrections) (eV per atom): 0.4592
DFT total energy (eV for the cell shown): -12.69

```
LiSb2AuI
1.0
5.064 0.000 0.000
0.000 5.064 0.000
0.000 0.000 5.186
Li Sb Au I
1 2 1 1
direct
0.000 0.000 0.000 Li
0.000 0.500 0.000 Sb
0.500 0.000 0.000 Sb
0.500 0.500 0.500 Au
0.000 0.000 0.500 I
```

=====

(19)
Density functional theory data (PBE) for a relaxed structure of LiTeAuI2.

Computed properties:
Offset from the most stable computed form (eV/atom): 0.000
Formation energy (no corrections) (eV per atom): -0.0357
DFT total energy (eV for the cell shown): -11.61

```
LiTeAuI2
1.0
5.751 0.000 0.000
0.000 5.751 0.000
0.000 0.000 5.532
Li Te Au I
1 1 1 2
direct
0.000 0.000 0.000 Li
0.500 0.500 0.000 Te
0.500 0.500 0.500 Au
0.000 0.500 0.500 I
0.500 0.000 0.500 I
```

=====

(20)
Density functional theory data (PBE) for a relaxed structure of LiTl2Au2I6.

Computed properties:
Formation energy (no corrections) (eV per atom): -0.4031
DFT total energy (eV for the cell shown): -26.94

```
LiTl2Au2I6
1.0
7.835 -3.809 0.000
7.835 3.809 0.000
-4.750 0.000 7.286
Li Tl Au I
1 2 2 6
direct
0.000 0.000 0.000 Li
0.251 0.251 0.766 Tl
0.749 0.749 0.234 Tl
0.438 0.438 0.630 Au
0.562 0.562 0.370 Au
0.168 0.691 0.162 I
0.246 0.246 0.352 I
0.309 0.832 0.838 I
0.691 0.168 0.162 I
0.754 0.754 0.648 I
0.832 0.309 0.838 I
```